The following is a DFT calculation (PBE) of Pd2Pt8Rh after structural relaxation.

DFT formation energy in eV/atom: -0.0258
DFT total energy in Ry per atom: -0.443
Density of states at the Fermi level in states/eV/atom: 2.10
Calculated volume in Å³/cell: 170

a b c (Å): 3.9477 6.2565 7.3998
angles (deg): 104.72 105.47 90.00
Positions (direct):
Pt  0.3190  0.0902  0.6380
Pt  0.9539  0.2730  0.9077
Pt  0.5902  0.4488  0.1804
Pt  0.1348  0.1789  0.2697
Pt  0.0461  0.7270  0.0923
Pt  0.6810  0.9098  0.3620
Pt  0.4098  0.5512  0.8196
Pt  0.8652  0.8211  0.7303
Rh  0.5000  0.0000  0.0000
Pd  0.2274  0.6362  0.4548
Pd  0.7726  0.3638  0.5452